No. 1
Entry from Alexandria via LeMat-Bulk: an optimized crystal structure of Al2ReMo (GGA-PBE).

Cell: 8.9351 8.9351 8.9351 Å, 18.21 18.21 18.21°
With the nearest neighbours (Å) after each atom.
Sites, in units of the cell vectors:
Mo 0.2500 0.2500 0.2500  6 Al 2.77, 6 Mo 2.83
Al 0.4983 0.4983 0.4983  3 Re 2.70, 3 Mo 2.77, 6 Al 2.83
Al 0.0017 0.0017 0.0017  3 Re 2.70, 3 Mo 2.77, 6 Al 2.83
Re 0.7500 0.7500 0.7500  6 Al 2.70, 6 Re 2.83

Summary:
- E (eV per atom) = -7.722
- distance to the lowest polymorph of the same formula (eV per atom) = 0.2784
- formation energy from the elements (meV per atom) = -31
- total magnetic moment (μB/f.u.) = 0.00
- D(E_F) (states/eV/atom) = 0.61

No. 2
Entry from Alexandria via LeMat-Bulk: an optimized crystal structure of Li5SiIr2 (GGA-PBE).

Cell: 3.0247 5.9830 11.8722 Å, 90.00 90.00 90.00°
With the nearest neighbours (Å) after each atom.
Sites, in units of the cell vectors:
Ir 0.5000 0.2897 0.1125  2 Si 2.38, 2 Li 2.66
Ir 0.5000 0.7103 0.8875  2 Si 2.38, 2 Li 2.66
Ir 0.5000 0.2103 0.6125  2 Si 2.38, 2 Li 2.66
Ir 0.5000 0.7897 0.3875  2 Si 2.38, 2 Li 2.66
Li 0.0000 0.5000 0.5000  4 Li 2.55, 4 Ir 2.66
Li 0.0000 0.0304 0.2482  4 Li 2.55-2.59, 4 Ir 2.66-2.70
Li 0.5000 0.2706 0.3711  6 Li 2.55-2.59, 2 Si 2.69
Li 0.5000 0.2294 0.8711  6 Li 2.55-2.59, 2 Si 2.69
Li 0.5000 0.7294 0.6289  6 Li 2.55-2.59, 2 Si 2.69
Li 0.5000 0.7706 0.1289  6 Li 2.55-2.59, 2 Si 2.69
Li 0.0000 0.4696 0.7482  4 Li 2.55-2.59, 4 Ir 2.66-2.70
Li 0.0000 0.9696 0.7518  4 Li 2.55-2.59, 4 Ir 2.66-2.70
Li 0.0000 0.5304 0.2518  4 Li 2.55-2.59, 4 Ir 2.66-2.70
Li 0.0000 0.0000 0.0000  4 Li 2.55, 4 Ir 2.66
Si 0.0000 0.0000 0.5000  4 Ir 2.38
Si 0.0000 0.5000 0.0000  4 Ir 2.38

Summary:
- E (eV per atom) = -4.374
- formation energy without anion corrections (eV/atom) = -0.285
- total magnetic moment (μB/f.u.) = 0.00
- D(E_F) (states/eV/atom) = 0.34

No. 3
Entry from Alexandria via LeMat-Bulk: an optimized crystal structure of LiCdAg2 (GGA-PBE).

Cell: 5.0183 5.0183 2.9941 Å, 90.00 90.00 106.55°
With the nearest neighbours (Å) after each atom.
Sites, in units of the cell vectors:
Ag 0.0000 0.0000 0.0000  4 Li 2.92, 4 Cd 2.92, 4 Ag 2.99-3.00
Ag 0.5000 0.5000 0.0000  4 Cd 2.92, 4 Li 2.92, 4 Ag 2.99-3.00
Li 0.0000 0.5000 0.5000  8 Ag 2.92, 2 Li 2.99, 2 Cd 3.00
Cd 0.5000 0.0000 0.5000  8 Ag 2.92, 2 Cd 2.99, 2 Li 3.00

Summary:
- E (eV per atom) = -2.277
- formation energy from the elements (meV per atom) = -144
- total magnetic moment (μB/f.u.) = 0.00
- D(E_F) (states/eV/atom) = 0.28

Which of these has the lowest D(E_F)? LiCdAg2